VASP calculation (PBE) on ZnWN2 after structural relaxation.

a b c (Å): 4.776 4.776 8.977
angles (deg): 90.00 90.00 90.00
Space group I-42d (No. 122)
Symmetry-distinct sites (fractional):
Zn  0.000  0.000  0.000 (multiplicity 4)
W  0.000  0.000  0.500 (multiplicity 4)
N  0.231  0.250  0.625 (multiplicity 8)

Summary:
total energy = -7.669 eV per atom
calculated density = 8.99 g cm⁻³
spin magnetization = 0.00 μB/f.u.
energy relative to the elements, uncorrected = 50 meV per atom
D(E_F) = 0.249 states/eV/atom
volume = 12.80 Å³/atom